1.
# LiTi3Nb | Alexandria via LeMat-Bulk | GGA-PBE | relaxed
data_LiTi3Nb
_chemical_formula_sum 'Li1 Ti3 Nb1'
_cell_length_a 4.413
_cell_length_b 4.413
_cell_length_c 4.413
_cell_angle_alpha 90.00
_cell_angle_beta 90.00
_cell_angle_gamma 90.00
_space_group_name_H-M_alt 'P m -3 m'
_space_group_IT_number 221
_space_group_name_Hall '-P 4 2 3'
loop_
_atom_site_label
_atom_site_type_symbol
_atom_site_fract_x
_atom_site_fract_y
_atom_site_fract_z
Li1 Li 0.000 0.000 0.000
Ti1 Ti 0.000 0.000 0.500
Nb1 Nb 0.500 0.500 0.500
# Magnetic moment ... 2.70 μB/cell
# V ... 86.0 Å³ per cell
# Formation energy ... 0.894 eV per atom

2.
# LiTiNb | Alexandria via LeMat-Bulk | GGA-PBE | relaxed
data_LiTiNb
_chemical_formula_sum 'Li2 Ti2 Nb2'
_cell_length_a 3.271
_cell_length_b 3.271
_cell_length_c 10.162
_cell_angle_alpha 90.00
_cell_angle_beta 90.00
_cell_angle_gamma 90.00
_space_group_name_H-M_alt 'P 4/n m m'
_space_group_IT_number 129
loop_
_space_group_symop_operation_xyz
'x,y,z'
'-x,-y,-z'
'-y+1/2,x,z'
'y+1/2,-x,-z'
'-x+1/2,-y+1/2,z'
'x+1/2,y+1/2,-z'
'y,-x+1/2,z'
'-y,x+1/2,-z'
'x+1/2,-y,-z'
'-x+1/2,y,z'
'-y,-x,-z'
'y,x,z'
'-x,y+1/2,-z'
'x,-y+1/2,z'
'y+1/2,x+1/2,-z'
'-y+1/2,-x+1/2,z'
loop_
_atom_site_label
_atom_site_type_symbol
_atom_site_fract_x
_atom_site_fract_y
_atom_site_fract_z
Li1 Li 0.250 0.250 0.079
Ti1 Ti 0.250 0.250 0.734
Nb1 Nb 0.250 0.250 0.419
# Magnetic moment ... 0.00 μB/cell
# V ... 108.7 Å³ per cell
# Formation energy ... 0.136 eV per atom

3.
# LiTi3Nb | Alexandria via LeMat-Bulk | GGA-PBE | relaxed
data_LiTi3Nb
_chemical_formula_sum 'Li1 Ti3 Nb1'
_cell_length_a 4.864
_cell_length_b 4.864
_cell_length_c 4.864
_cell_angle_alpha 90.00
_cell_angle_beta 90.00
_cell_angle_gamma 90.00
_space_group_name_H-M_alt 'P m -3 m'
_space_group_IT_number 221
_space_group_name_Hall '-P 4 2 3'
loop_
_atom_site_label
_atom_site_type_symbol
_atom_site_fract_x
_atom_site_fract_y
_atom_site_fract_z
Li1 Li 0.000 0.000 0.000
Ti1 Ti 0.000 0.500 0.500
Nb1 Nb 0.500 0.500 0.500
# Magnetic moment ... 0.00 μB/cell
# V ... 115.1 Å³ per cell
# Formation energy ... 0.958 eV per atom